# 1
# Ba2PaPdS5 | the Alexandria database | PBE | optimized geometry
data_Ba2PaPdS5
_cell_length_a 4.097
_cell_length_b 9.163
_cell_length_c 13.027
_cell_angle_alpha 90.00
_cell_angle_beta 90.00
_cell_angle_gamma 102.92
_space_group_name_H-M_alt 'P 1'
_space_group_IT_number 1
loop_
_space_group_symop_operation_xyz
'x,y,z'
loop_
_atom_site_label
_atom_site_fract_x
_atom_site_fract_y
_atom_site_fract_z
S1 0.500 0.999 0.266
Pd1 0.441 0.881 0.433
Pd2 0.559 0.119 0.933
S2 0.303 0.605 0.656
S3 0.337 0.674 0.016
Ba1 0.116 0.232 0.338
S4 0.697 0.395 0.156
S5 0.958 0.915 0.525
S6 0.042 0.085 0.025
S7 0.663 0.326 0.516
S8 0.699 0.398 0.880
Ba2 0.884 0.768 0.838
S9 0.500 0.001 0.766
Pa1 0.190 0.380 0.017
Ba3 0.118 0.235 0.693
S10 0.301 0.602 0.380
Ba4 0.882 0.765 0.193
Pa2 0.810 0.620 0.517
# Uncorrected energy in eV per formula unit: -53.43
# Crystal system: orthorhombic
# ΔE_f (raw) in meV per atom: -1584
# Symmetry: No. 36


# 2
# TmZnSnPt | the Alexandria database | PBE | optimized geometry
data_TmZnSnPt
_cell_length_a 4.811
_cell_length_b 4.811
_cell_length_c 4.811
_cell_angle_alpha 60.00
_cell_angle_beta 60.00
_cell_angle_gamma 60.00
_space_group_name_H-M_alt 'P 1'
_space_group_IT_number 1
loop_
_space_group_symop_operation_xyz
'x,y,z'
loop_
_atom_site_label
_atom_site_fract_x
_atom_site_fract_y
_atom_site_fract_z
Tm1 0.000 0.000 0.000
Zn1 0.250 0.250 0.250
Sn1 0.500 0.500 0.500
Pt1 0.750 0.750 0.750
# Uncorrected energy in eV per formula unit: -18.45
# E_form in eV/atom: -0.66
# Crystal system: cubic
# Symmetry: No. 216


# 3
# BaNaNb | the Alexandria database | PBE | optimized geometry
data_BaNaNb
_cell_length_a 5.705
_cell_length_b 5.705
_cell_length_c 3.051
_cell_angle_alpha 90.00
_cell_angle_beta 90.00
_cell_angle_gamma 120.00
_space_group_name_H-M_alt 'P 1'
_space_group_IT_number 1
loop_
_space_group_symop_operation_xyz
'x,y,z'
loop_
_atom_site_label
_atom_site_fract_x
_atom_site_fract_y
_atom_site_fract_z
Nb1 0.333 0.667 0.000
Na1 0.667 0.333 0.500
Ba1 0.000 0.000 0.000
# Excess energy over the best structure of this formula in the dataset in eV per atom: 0.7738
# Uncorrected energy in eV per formula unit: -9.98
# E_form in eV/atom: 1.11
# Crystal system: hexagonal
# Symmetry: No. 187


# 4
# Mg2MoRh | the Alexandria database | PBE | optimized geometry
data_Mg2MoRh
_cell_length_a 5.157
_cell_length_b 5.157
_cell_length_c 2.788
_cell_angle_alpha 90.00
_cell_angle_beta 90.00
_cell_angle_gamma 117.41
_space_group_name_H-M_alt 'P 1'
_space_group_IT_number 1
loop_
_space_group_symop_operation_xyz
'x,y,z'
loop_
_atom_site_label
_atom_site_fract_x
_atom_site_fract_y
_atom_site_fract_z
Mo1 0.500 0.000 0.500
Rh1 0.000 0.500 0.500
Mg1 0.500 0.500 0.000
Mg2 0.000 0.000 0.000
# Excess energy over the best structure of this formula in the dataset in eV per atom: 0.2148
# Uncorrected energy in eV per formula unit: -20.89
# E_form in eV/atom: 0.12
# Crystal system: orthorhombic
# Symmetry: No. 65


# 5
# BaMg4Tl2Hg | the Alexandria database | PBE | optimized geometry
data_BaMg4Tl2Hg
_cell_length_a 5.072
_cell_length_b 5.072
_cell_length_c 10.352
_cell_angle_alpha 75.82
_cell_angle_beta 75.82
_cell_angle_gamma 60.00
_space_group_name_H-M_alt 'P 1'
_space_group_IT_number 1
loop_
_space_group_symop_operation_xyz
'x,y,z'
loop_
_atom_site_label
_atom_site_fract_x
_atom_site_fract_y
_atom_site_fract_z
Mg1 0.407 0.407 0.779
Tl1 0.253 0.253 0.240
Mg2 0.866 0.866 0.403
Ba1 0.000 0.000 0.000
Hg1 0.500 0.500 0.500
Mg3 0.134 0.134 0.597
Tl2 0.747 0.747 0.760
Mg4 0.593 0.593 0.221
# Uncorrected energy in eV per formula unit: -14.65
# E_form in eV/atom: -0.16
# Crystal system: trigonal
# Symmetry: No. 166


# 6
# AgSeBr2N | the Alexandria database | PBE | optimized geometry
data_AgSeBr2N
_cell_length_a 5.410
_cell_length_b 5.410
_cell_length_c 5.168
_cell_angle_alpha 90.00
_cell_angle_beta 90.00
_cell_angle_gamma 90.00
_space_group_name_H-M_alt 'P 1'
_space_group_IT_number 1
loop_
_space_group_symop_operation_xyz
'x,y,z'
loop_
_atom_site_label
_atom_site_fract_x
_atom_site_fract_y
_atom_site_fract_z
Br1 0.000 0.500 0.000
Ag1 0.000 0.000 0.000
Se1 0.000 0.000 0.500
N1 0.500 0.500 0.500
Br2 0.500 0.000 0.000
# Excess energy over the best structure of this formula in the dataset in eV per atom: 0.3172
# Uncorrected energy in eV per formula unit: -11.62
# Crystal system: tetragonal
# ΔE_f (raw) in meV per atom: 1277
# Symmetry: No. 123


# 7
# Rb3Cd4F12 | the Alexandria database | PBE | optimized geometry
data_Rb3Cd4F12
_cell_length_a 7.701
_cell_length_b 7.701
_cell_length_c 7.701
_cell_angle_alpha 109.47
_cell_angle_beta 109.47
_cell_angle_gamma 109.47
_space_group_name_H-M_alt 'P 1'
_space_group_IT_number 1
loop_
_space_group_symop_operation_xyz
'x,y,z'
loop_
_atom_site_label
_atom_site_fract_x
_atom_site_fract_y
_atom_site_fract_z
F1 0.480 0.742 0.738
Cd1 0.000 0.500 0.000
F2 0.258 0.738 0.995
F3 0.738 0.995 0.258
F4 0.005 0.742 0.262
F5 0.738 0.480 0.742
F6 0.262 0.005 0.742
F7 0.742 0.262 0.005
Rb1 0.000 0.500 0.500
Cd2 0.500 0.000 0.000
F8 0.742 0.738 0.480
Cd3 0.500 0.500 0.500
Cd4 0.000 0.000 0.500
F9 0.258 0.262 0.520
F10 0.995 0.258 0.738
F11 0.520 0.258 0.262
Rb2 0.500 0.000 0.500
Rb3 0.500 0.500 0.000
F12 0.262 0.520 0.258
# Uncorrected energy in eV per formula unit: -72.56
# Crystal system: cubic
# ΔE_f (raw) in meV per atom: -2291
# Symmetry: No. 204


# 8
# CsNa2MgHg | the Alexandria database | PBE | optimized geometry
data_CsNa2MgHg
_cell_length_a 6.138
_cell_length_b 6.138
_cell_length_c 5.444
_cell_angle_alpha 90.00
_cell_angle_beta 90.00
_cell_angle_gamma 90.00
_space_group_name_H-M_alt 'P 1'
_space_group_IT_number 1
loop_
_space_group_symop_operation_xyz
'x,y,z'
loop_
_atom_site_label
_atom_site_fract_x
_atom_site_fract_y
_atom_site_fract_z
Mg1 0.000 0.000 0.500
Hg1 0.000 0.000 0.000
Na1 0.500 0.000 0.000
Na2 0.000 0.500 0.000
Cs1 0.500 0.500 0.500
# Excess energy over the best structure of this formula in the dataset in eV per atom: 0.0000
# Uncorrected energy in eV per formula unit: -5.52
# E_form in eV/atom: -0.03
# Crystal system: tetragonal
# Symmetry: No. 123


# 9
# V2InC2 | the Alexandria database | PBE | optimized geometry
data_V2InC2
_cell_length_a 3.856
_cell_length_b 3.856
_cell_length_c 5.420
_cell_angle_alpha 69.16
_cell_angle_beta 69.16
_cell_angle_gamma 90.00
_space_group_name_H-M_alt 'P 1'
_space_group_IT_number 1
loop_
_space_group_symop_operation_xyz
'x,y,z'
loop_
_atom_site_label
_atom_site_fract_x
_atom_site_fract_y
_atom_site_fract_z
In1 0.000 0.000 0.000
C1 0.307 0.307 0.386
V1 0.750 0.250 0.500
C2 0.693 0.693 0.614
V2 0.250 0.750 0.500
# Excess energy over the best structure of this formula in the dataset in eV per atom: 0.0000
# Uncorrected energy in eV per formula unit: -38.46
# E_form in eV/atom: 0.19
# Crystal system: tetragonal
# Symmetry: No. 139


# 10
# Cs2SnI6 | the Alexandria database | PBE | optimized geometry
data_Cs2SnI6
_cell_length_a 8.495
_cell_length_b 8.495
_cell_length_c 8.495
_cell_angle_alpha 60.00
_cell_angle_beta 60.00
_cell_angle_gamma 60.00
_space_group_name_H-M_alt 'P 1'
_space_group_IT_number 1
loop_
_space_group_symop_operation_xyz
'x,y,z'
loop_
_atom_site_label
_atom_site_fract_x
_atom_site_fract_y
_atom_site_fract_z
Sn1 0.000 0.000 0.000
Cs1 0.750 0.750 0.750
I1 0.758 0.242 0.242
I2 0.758 0.758 0.242
I3 0.758 0.242 0.758
Cs2 0.250 0.250 0.250
I4 0.242 0.758 0.242
I5 0.242 0.242 0.758
I6 0.242 0.758 0.758
# Excess energy over the best structure of this formula in the dataset in eV per atom: 0.0000
# Uncorrected energy in eV per formula unit: -23.16
# Crystal system: cubic
# ΔE_f (raw) in meV per atom: -905
# Symmetry: No. 225


# 11
# YPdAu2 | the Alexandria database | PBE | optimized geometry
data_YPdAu2
_cell_length_a 5.241
_cell_length_b 5.710
_cell_length_c 6.142
_cell_angle_alpha 90.00
_cell_angle_beta 90.00
_cell_angle_gamma 122.96
_space_group_name_H-M_alt 'P 1'
_space_group_IT_number 1
loop_
_space_group_symop_operation_xyz
'x,y,z'
loop_
_atom_site_label
_atom_site_fract_x
_atom_site_fract_y
_atom_site_fract_z
Pd1 0.000 0.250 0.250
Au1 0.500 0.250 0.000
Pd2 0.000 0.750 0.750
Au2 0.500 0.750 0.500
Au3 0.500 0.750 0.000
Au4 0.500 0.250 0.500
Y1 0.000 0.750 0.250
Y2 0.000 0.250 0.750
# Uncorrected energy in eV per formula unit: -21.20
# E_form in eV/atom: -0.75
# Crystal system: orthorhombic
# Symmetry: No. 69


# 12
# Zn2CrSi | the Alexandria database | PBE | optimized geometry
data_Zn2CrSi
_cell_length_a 3.923
_cell_length_b 2.587
_cell_length_c 5.467
_cell_angle_alpha 76.04
_cell_angle_beta 90.00
_cell_angle_gamma 90.00
_space_group_name_H-M_alt 'P 1'
_space_group_IT_number 1
loop_
_space_group_symop_operation_xyz
'x,y,z'
loop_
_atom_site_label
_atom_site_fract_x
_atom_site_fract_y
_atom_site_fract_z
Zn1 0.000 0.805 0.014
Zn2 0.500 0.195 0.237
Cr1 0.000 0.537 0.552
Si1 0.500 0.963 0.696
# Uncorrected energy in eV per formula unit: -17.23
# Crystal system: monoclinic
# ΔE_f (raw) in meV per atom: 92
# Symmetry: No. 6


Repeat the second record exactly.
# TmZnSnPt | the Alexandria database | PBE | optimized geometry
data_TmZnSnPt
_cell_length_a 4.811
_cell_length_b 4.811
_cell_length_c 4.811
_cell_angle_alpha 60.00
_cell_angle_beta 60.00
_cell_angle_gamma 60.00
_space_group_name_H-M_alt 'P 1'
_space_group_IT_number 1
loop_
_space_group_symop_operation_xyz
'x,y,z'
loop_
_atom_site_label
_atom_site_fract_x
_atom_site_fract_y
_atom_site_fract_z
Tm1 0.000 0.000 0.000
Zn1 0.250 0.250 0.250
Sn1 0.500 0.500 0.500
Pt1 0.750 0.750 0.750
# Uncorrected energy in eV per formula unit: -18.45
# E_form in eV/atom: -0.66
# Crystal system: cubic
# Symmetry: No. 216